Computed, not measured: Na8PdPb2 after structural relaxation at the PBE-GGA level of DFT.

Calculated values
The total energy comes out at -2.1644 eV per atom. The energy above the most stable polymorph in this dataset is 20.5 meV per atom. The value obtained for the volume is 32.135 Å³/atom.

Cell: 6.113 8.604 8.604 Å, 54.65 75.16 75.16°
Fractional positions:
Na  0.209  0.348  0.767
Na  0.791  0.233  0.652
Na  0.039  0.795  0.795
Na  0.961  0.205  0.205
Na  0.209  0.767  0.348
Na  0.791  0.652  0.233
Na  0.623  0.671  0.671
Na  0.377  0.329  0.329
Pd  0.000  0.000  0.000
Pb  0.452  0.896  0.896
Pb  0.548  0.104  0.104